## Tm2SiGeP4 (PBE)

Data for a geometry-optimized Tm2SiGeP4 structure.

Values from the calculation:
Energy: -44.04 eV for the cell shown
Crystal system: tetragonal

Cell: 6.421 6.421 6.421 Å, 120.99 120.99 88.29°
Atoms (fractional coordinates):
Tm (0.000, 0.000, 0.000)
Tm (0.750, 0.250, 0.500)
Si (0.250, 0.750, 0.500)
Ge (0.500, 0.500, 0.000)
P (0.170, 0.630, 0.060)
P (0.370, 0.430, 0.539)
P (0.570, 0.110, 0.940)
P (0.890, 0.830, 0.461)



## Li4TlGeAu2 (PBE)

Data for a geometry-optimized Li4TlGeAu2 structure.

Values from the calculation:
Energy: -24.58 eV for the cell shown
Crystal system: tetragonal

Cell: 4.486 4.486 6.591 Å, 90.00 90.00 90.00°
Atoms (fractional coordinates):
Li (0.000, 0.000, 0.000)
Li (0.000, 0.500, 0.727)
Li (0.500, 0.000, 0.273)
Li (0.500, 0.500, 0.500)
Tl (0.500, 0.500, 0.000)
Ge (0.000, 0.000, 0.500)
Au (0.000, 0.500, 0.282)
Au (0.500, 0.000, 0.718)



## HoCo4Sn2Ge4 (PBE)

Data for a geometry-optimized HoCo4Sn2Ge4 structure.

Values from the calculation:
Energy: -63.20 eV for the cell shown
Crystal system: tetragonal

Cell: 6.283 6.283 6.283 Å, 116.74 116.74 95.74°
Atoms (fractional coordinates):
Ho (0.000, 0.000, 0.000)
Co (0.241, 0.577, 0.000)
Co (0.423, 0.423, 0.664)
Co (0.577, 0.241, 0.000)
Co (0.759, 0.759, 0.336)
Sn (0.000, 0.500, 0.500)
Sn (0.500, 0.000, 0.500)
Ge (0.127, 0.127, 0.652)
Ge (0.475, 0.475, 0.348)
Ge (0.525, 0.873, 0.000)
Ge (0.873, 0.525, 0.000)



What is the energy in the third record? -63.20 eV for the cell shown



Which value of energy does entry 2 give? -24.58 eV for the cell shown



energy of number 1 (Tm2SiGeP4)? -44.04 eV for the cell shown